Entry i
Pr3Ge3Ir2: relaxed, PBE.

a = 5.9563 Å, b = 5.9563 Å, c = 14.7774 Å
α = 90.00°, β = 90.00°, γ = 136.69°
With the nearest neighbours (Å) after each atom.
Fractional coordinates of all 16 atoms:
Pr1 0.0807 0.9193 0.6094  7 Ge 3.13-3.44, 4 Ir 3.15-3.42
Pr2 0.0807 0.9193 0.8906  7 Ge 3.13-3.44, 4 Ir 3.15-3.42
Pr3 0.3576 0.6424 0.7500  5 Ge 3.09-3.36, 4 Ir 3.17
Pr4 0.6424 0.3576 0.2500  5 Ge 3.09-3.36, 4 Ir 3.17
Pr5 0.9193 0.0807 0.1094  7 Ge 3.13-3.44, 4 Ir 3.15-3.42
Pr6 0.9193 0.0807 0.3906  7 Ge 3.13-3.44, 4 Ir 3.15-3.42
Ge1 0.3385 0.6615 0.2500  2 Ir 2.64
Ge2 0.3630 0.6370 0.5355  3 Ir 2.52-2.69
Ge3 0.3630 0.6370 0.9645  3 Ir 2.52-2.69
Ge4 0.6370 0.3630 0.0355  3 Ir 2.52-2.69
Ge5 0.6370 0.3630 0.4645  3 Ir 2.52-2.69
Ge6 0.6615 0.3385 0.7500  2 Ir 2.64
Ir1 0.2039 0.7961 0.1025  4 Ge 2.52-2.69
Ir2 0.2039 0.7961 0.3975  4 Ge 2.52-2.69
Ir3 0.7961 0.2039 0.6025  4 Ge 2.52-2.69
Ir4 0.7961 0.2039 0.8975  4 Ge 2.52-2.69

The value obtained for the size of the total moment is 0.000 μB per formula unit. The density of states at the Fermi level is 9.262 states/eV per cell.


Entry ii
Pr3Ge3Ir2: relaxed, PBE.

a = 7.9695 Å, b = 14.7539 Å, c = 6.1572 Å
α = 90.00°, β = 90.00°, γ = 90.00°
With the nearest neighbours (Å) after each atom.
Fractional coordinates of all 32 atoms:
Pr1 0.0229 0.1080 0.1311  6 Ge 3.11-3.33, 3 Ir 3.17-3.37
Pr2 0.0229 0.3920 0.1311  6 Ge 3.11-3.33, 3 Ir 3.17-3.37
Pr3 0.1598 0.2500 0.6330  4 Ge 3.04-3.13, 4 Ir 3.19-3.24
Pr4 0.3402 0.7500 0.1330  4 Ge 3.04-3.13, 4 Ir 3.19-3.24
Pr5 0.4771 0.6080 0.6311  6 Ge 3.11-3.33, 3 Ir 3.17-3.37
Pr6 0.4771 0.8920 0.6311  6 Ge 3.11-3.33, 3 Ir 3.17-3.37
Pr7 0.5229 0.1080 0.3689  6 Ge 3.11-3.33, 3 Ir 3.17-3.37
Pr8 0.5229 0.3920 0.3689  6 Ge 3.11-3.33, 3 Ir 3.17-3.37
Pr9 0.6598 0.2500 0.8670  4 Ge 3.04-3.13, 4 Ir 3.19-3.24
Pr10 0.8402 0.7500 0.3670  4 Ge 3.04-3.13, 4 Ir 3.19-3.24
Pr11 0.9771 0.6080 0.8689  6 Ge 3.11-3.33, 3 Ir 3.17-3.37
Pr12 0.9771 0.8920 0.8689  6 Ge 3.11-3.33, 3 Ir 3.17-3.37
Ge1 0.1699 0.0445 0.6017  3 Ir 2.45-2.52
Ge2 0.1699 0.4555 0.6017  3 Ir 2.45-2.52
Ge3 0.1888 0.7500 0.6013  2 Ir 2.68
Ge4 0.3112 0.2500 0.1013  2 Ir 2.68
Ge5 0.3301 0.5445 0.1017  3 Ir 2.45-2.52
Ge6 0.3301 0.9555 0.1017  3 Ir 2.45-2.52
Ge7 0.6699 0.0445 0.8983  3 Ir 2.45-2.52
Ge8 0.6699 0.4555 0.8983  3 Ir 2.45-2.52
Ge9 0.6888 0.7500 0.8987  2 Ir 2.68
Ge10 0.8112 0.2500 0.3987  2 Ir 2.68
Ge11 0.8301 0.5445 0.3983  3 Ir 2.45-2.52
Ge12 0.8301 0.9555 0.3983  3 Ir 2.45-2.52
Ir1 0.1311 0.5970 0.3786  4 Ge 2.45-2.68
Ir2 0.1311 0.9030 0.3786  4 Ge 2.45-2.68
Ir3 0.3689 0.0970 0.8786  4 Ge 2.45-2.68
Ir4 0.3689 0.4030 0.8786  4 Ge 2.45-2.68
Ir5 0.6311 0.5970 0.1214  4 Ge 2.45-2.68
Ir6 0.6311 0.9030 0.1214  4 Ge 2.45-2.68
Ir7 0.8689 0.0970 0.6214  4 Ge 2.45-2.68
Ir8 0.8689 0.4030 0.6214  4 Ge 2.45-2.68

The value obtained for the size of the total moment is 0.000 μB per formula unit. The density of states at the Fermi level is 22.182 states/eV per cell.


If you had to name the least stable structure above, which would it be? It would be entry ii.